No. 1
A relaxed Ag3WS crystal, computed with GGA-PBE.

POSCAR file:
```
Ag3WS
1.0
-0.818 -4.745 0.135
0.726 0.010 4.762
-4.692 0.829 0.714
W Ag S
1 3 1
Direct
0.500 0.500 0.500
0.000 0.000 0.500
0.000 0.500 0.000
0.500 0.000 0.000
0.000 0.000 0.000
```

As for the density of states at the Fermi level: 1.85 states/eV/cell. The calculated total energy is -3.76 eV per atom. For the relative energy among the computed polymorphs, the calculation gives 0.0000 eV/atom. The uncorrected formation energy comes out at 1.36 eV per atom.


No. 2
A relaxed SrReSb crystal, computed with GGA-PBE.

POSCAR file:
```
SrReSb
1.0
-1.257 -5.852 -2.323
0.849 -4.321 -4.672
2.653 -2.038 1.051
Re Sr Sb
1 1 1
Direct
0.031 0.031 0.969
0.341 0.341 0.659
0.628 0.628 0.372
```

As for the density of states at the Fermi level: 2.90 states/eV/cell. The calculated total energy is -5.85 eV per atom. For the relative energy among the computed polymorphs, the calculation gives 0.0000 eV/atom. The uncorrected formation energy comes out at 0.23 eV per atom.


No. 3
A relaxed Cd2SiCl crystal, computed with GGA-PBE.

POSCAR file:
```
Cd2SiCl
1.0
-2.856 6.874 -1.034
-2.360 -4.992 1.032
-0.868 -0.027 3.000
Cd Cl Si
2 1 1
Direct
0.500 0.000 0.500
0.000 0.000 0.000
0.000 0.500 0.500
0.500 0.500 0.000
```

As for the density of states at the Fermi level: 1.08 states/eV/cell. The calculated total energy is -2.26 eV per atom. For the relative energy among the computed polymorphs, the calculation gives 0.0927 eV/atom. The uncorrected formation energy comes out at 0.02 eV per atom.


No. 4
A relaxed Li2PbCl crystal, computed with GGA-PBE.

POSCAR file:
```
Li2PbCl
1.0
8.124 -0.009 0.026
7.466 3.204 0.026
0.487 0.100 3.309
Cl Li Pb
1 2 1
Direct
0.703 0.703 0.822
0.269 0.269 0.261
0.081 0.081 0.906
0.446 0.446 0.510
```

As for the density of states at the Fermi level: 2.01 states/eV/cell. The calculated total energy is -3.22 eV per atom. For the relative energy among the computed polymorphs, the calculation gives 0.0517 eV/atom. The uncorrected formation energy comes out at -0.88 eV per atom.


No. 5
A relaxed SrMnRu crystal, computed with GGA-PBE.

POSCAR file:
```
SrMnRu
1.0
4.644 0.000 0.000
2.322 4.022 0.000
2.322 1.341 3.792
Mn Ru Sr
1 1 1
Direct
0.500 0.500 0.500
0.750 0.750 0.750
0.000 0.000 0.000
```

As for the density of states at the Fermi level: 4.63 states/eV/cell. The calculated total energy is -5.87 eV per atom. For the relative energy among the computed polymorphs, the calculation gives 0.4385 eV/atom. The calculation puts the formation enthalpy at 0 K at 0.84 eV per atom.


No. 6
A relaxed Nd2Ho6Tm3Pu crystal, computed with GGA-PBE.

POSCAR file:
```
Nd2Ho6Tm3Pu
1.0
-3.294 3.114 -4.116
0.927 -6.008 -0.728
-8.763 -1.230 7.607
Ho Tm Nd Pu
6 3 2 1
Direct
0.413 0.084 0.252
0.245 0.245 0.747
0.755 0.755 0.253
0.916 0.587 0.748
0.587 0.916 0.748
0.084 0.413 0.252
0.500 0.500 0.500
0.833 0.167 0.500
0.167 0.833 0.500
0.333 0.667 0.000
0.667 0.333 0.000
0.000 0.000 0.000
```

As for the density of states at the Fermi level: 26.03 states/eV/cell. The calculated total energy is -5.34 eV per atom. The calculation puts the formation enthalpy at 0 K at 0.05 eV per atom.


No. 7
A relaxed TbSc2O crystal, computed with GGA-PBE.

POSCAR file:
```
TbSc2O
1.0
3.281 0.000 0.000
1.640 2.841 0.000
1.640 0.947 8.316
Tb O Sc
1 1 2
Direct
0.500 0.500 0.500
0.000 0.000 0.000
0.283 0.283 0.150
0.717 0.717 0.850
```

As for the density of states at the Fermi level: 4.64 states/eV/cell. The calculated total energy is -6.96 eV per atom. For the relative energy among the computed polymorphs, the calculation gives 0.0000 eV/atom. The uncorrected formation energy comes out at -1.40 eV per atom.


No. 8
A relaxed La2Tm2PPb2 crystal, computed with GGA-PBE.

POSCAR file:
```
La2Tm2PPb2
1.0
5.111 0.000 0.000
0.000 5.111 0.000
-2.555 -2.555 8.485
P Pb La Tm
1 2 2 2
Direct
0.000 0.000 0.000
0.630 0.630 0.261
0.370 0.370 0.739
0.169 0.169 0.338
0.831 0.831 0.662
0.000 0.500 0.000
0.500 0.000 0.000
```

As for the density of states at the Fermi level: 5.06 states/eV/cell. The calculated total energy is -5.33 eV per atom. The calculation puts the formation enthalpy at 0 K at -0.82 eV per atom.